BaMnBeO4 | PBE with a Hubbard U | optimized geometry

Output
The value obtained for the total energy is -94.0 eV for the cell shown. The theoretical density comes out at 5017 kg/m³.

Geometry as CIF:
```
data_BaMnBeO4
_space_group_name_H-M_alt 'P 1'
_space_group_IT_number 1
_cell_length_a 4.871
_cell_length_b 5.447
_cell_length_c 7.777
_cell_angle_alpha 90.00
_cell_angle_beta 121.67
_cell_angle_gamma 90.00
loop_
_space_group_symop_operation_xyz
'x,y,z'
loop_
_atom_site_label
_atom_site_type_symbol
_atom_site_fract_x
_atom_site_fract_y
_atom_site_fract_z
O1 O 0.939 0.526 0.319
O2 O 0.324 0.750 0.183
O3 O 0.939 0.974 0.319
O4 O 0.061 0.026 0.681
O5 O 0.478 0.250 0.451
O6 O 0.676 0.250 0.817
Be1 Be 0.188 0.750 0.337
O7 O 0.061 0.474 0.681
O8 O 0.522 0.750 0.549
Mn1 Mn 0.228 0.250 0.560
Ba1 Ba 0.632 0.750 0.901
Ba2 Ba 0.368 0.250 0.099
Mn2 Mn 0.772 0.750 0.440
Be2 Be 0.812 0.250 0.663
```